{
  "formula": "NiIr3N",
  "functional": "PBE-GGA",
  "state": "relaxed",
  "lattice_angstrom": [[4.486, 0.000, 0.000], [0.000, 4.486, 0.000], [0.000, 0.000, 4.486]],
  "species": ["Ni", "Ir", "Ir", "Ir", "N"],
  "fractional_positions": [[0.000, 0.000, 0.000], [0.000, 0.000, 0.500], [0.000, 0.500, 0.000], [0.500, 0.000, 0.000], [0.500, 0.500, 0.500]],
  "energy_ev_per_atom": -5.362,
  "e_above_lowest_polymorph_mev_per_atom": 2082
}